The following is a DFT calculation (PBE-GGA) of an optimized crystal structure of Y2SnO.

```
Y2SnO
1.0
6.963 0.000 0.000
0.000 6.963 0.000
0.000 0.000 7.830
Y Sn O
8 4 4
direct
0.149 0.250 0.125 Y
0.250 0.649 0.375 Y
0.250 0.851 0.875 Y
0.351 0.250 0.625 Y
0.649 0.750 0.625 Y
0.750 0.149 0.875 Y
0.750 0.351 0.375 Y
0.851 0.750 0.125 Y
0.000 0.000 0.500 Sn
0.000 0.500 0.750 Sn
0.500 0.000 0.250 Sn
0.500 0.500 0.000 Sn
0.000 0.000 0.000 O
0.000 0.500 0.250 O
0.500 0.000 0.750 O
0.500 0.500 0.500 O
```

Properties
DOS(E_F): 0.0 states/eV/f.u.
symmetry: I-42d, No. 122
spin magnetization: 0.0 Bohr magnetons per cell
relative energy among the computed polymorphs: 183.5 meV/atom
formation energy (no corrections): -6.8 eV per formula unit
total DFT energy (no corrections): -7.178 eV per atom

***

The following is a DFT calculation (PBE-GGA) of an optimized crystal structure of Y2SnO.

```
Y2SnO
1.0
4.516 0.000 0.000
0.000 8.797 0.000
0.000 0.000 4.516
Y Sn O
4 2 2
direct
0.000 0.000 0.000 Y
0.000 0.334 0.501 Y
0.500 0.000 0.500 Y
0.500 0.666 0.001 Y
0.000 0.700 0.502 Sn
0.500 0.300 0.002 Sn
0.000 0.073 0.500 O
0.500 0.927 0.000 O
```

Properties
DOS(E_F): 1.4 states/eV/f.u.
symmetry: Pmn2_1, No. 31
spin magnetization: 0.0 Bohr magnetons per cell
relative energy among the computed polymorphs: 0.0 meV/atom
formation energy (no corrections): -7.6 eV per formula unit
total DFT energy (no corrections): -7.362 eV per atom

***

The following is a DFT calculation (PBE-GGA) of an optimized crystal structure of YSn3O.

```
YSn3O
1.0
4.821 0.000 0.000
0.000 4.821 0.000
0.000 0.000 4.821
Y Sn O
1 3 1
direct
0.000 0.000 0.000 Y
0.000 0.500 0.500 Sn
0.500 0.000 0.500 Sn
0.500 0.500 0.000 Sn
0.500 0.500 0.500 O
```

Properties
DOS(E_F): 2.5 states/eV/f.u.
symmetry: Pm-3m, No. 221
spin magnetization: 0.0 Bohr magnetons per cell
relative energy among the computed polymorphs: 0.0 meV/atom
formation energy (no corrections): -2.9 eV per formula unit
total DFT energy (no corrections): -5.272 eV per atom

***

The following is a DFT calculation (PBE-GGA) of an optimized crystal structure of Y5Sn4O.

```
Y5Sn4O
1.0
-4.636 4.636 3.064
4.636 -4.636 3.064
4.636 4.636 -3.064
Y Sn O
5 4 1
direct
0.000 0.000 0.000 Y
0.319 0.670 0.873 Y
0.445 0.319 0.649 Y
0.670 0.797 0.351 Y
0.797 0.445 0.127 Y
0.128 0.392 0.398 Sn
0.392 0.994 0.264 Sn
0.730 0.128 0.736 Sn
0.994 0.730 0.602 Sn
0.625 0.625 0.000 O
```

Properties
DOS(E_F): 7.7 states/eV/f.u.
symmetry: I4, No. 79
spin magnetization: 0.0 Bohr magnetons per cell
formation energy (no corrections): -9.7 eV per formula unit
total DFT energy (no corrections): -6.300 eV per atom

***

The following is a DFT calculation (PBE-GGA) of an optimized crystal structure of YSnO2.

```
YSnO2
1.0
5.610 0.000 0.000
0.000 5.610 0.000
0.000 0.000 10.450
Y Sn O
4 4 8
direct
0.000 0.000 0.000 Y
0.000 0.500 0.250 Y
0.500 0.000 0.750 Y
0.500 0.500 0.500 Y
0.000 0.000 0.500 Sn
0.000 0.500 0.750 Sn
0.500 0.000 0.250 Sn
0.500 0.500 0.000 Sn
0.181 0.250 0.125 O
0.250 0.681 0.375 O
0.250 0.819 0.875 O
0.319 0.250 0.625 O
0.681 0.750 0.625 O
0.750 0.181 0.875 O
0.750 0.319 0.375 O
0.819 0.750 0.125 O
```

Properties
DOS(E_F): 1.9 states/eV/f.u.
symmetry: I-42d, No. 122
spin magnetization: 0.0 Bohr magnetons per cell
formation energy (no corrections): -7.9 eV per formula unit
total DFT energy (no corrections): -7.062 eV per atom

***

The following is a DFT calculation (PBE-GGA) of an optimized crystal structure of Y3Sn5O12.

```
Y3Sn5O12
1.0
-6.678 6.678 6.678
6.678 -6.678 6.678
6.678 6.678 -6.678
Y Sn O
12 20 48
direct
0.125 0.250 0.375 Y
0.125 0.375 0.750 Y
0.250 0.375 0.125 Y
0.250 0.875 0.625 Y
0.375 0.125 0.250 Y
0.375 0.750 0.125 Y
0.625 0.250 0.875 Y
0.625 0.875 0.750 Y
0.750 0.125 0.375 Y
0.750 0.625 0.875 Y
0.875 0.625 0.250 Y
0.875 0.750 0.625 Y
0.000 0.000 0.000 Sn
0.000 0.000 0.500 Sn
0.000 0.500 0.000 Sn
0.000 0.500 0.500 Sn
0.125 0.750 0.875 Sn
0.125 0.875 0.250 Sn
0.250 0.125 0.875 Sn
0.250 0.625 0.375 Sn
0.375 0.250 0.625 Sn
0.375 0.625 0.750 Sn
0.500 0.000 0.000 Sn
0.500 0.000 0.500 Sn
0.500 0.500 0.000 Sn
0.500 0.500 0.500 Sn
0.625 0.375 0.250 Sn
0.625 0.750 0.375 Sn
0.750 0.375 0.625 Sn
0.750 0.875 0.125 Sn
0.875 0.125 0.750 Sn
0.875 0.250 0.125 Sn
0.046 0.210 0.130 O
0.046 0.336 0.915 O
0.079 0.710 0.664 O
0.079 0.870 0.415 O
0.085 0.630 0.421 O
0.085 0.954 0.664 O
0.130 0.046 0.210 O
0.130 0.585 0.921 O
0.164 0.210 0.579 O
0.164 0.454 0.585 O
0.210 0.130 0.046 O
0.210 0.579 0.164 O
0.290 0.336 0.921 O
0.290 0.454 0.370 O
0.336 0.915 0.046 O
0.336 0.921 0.290 O
0.370 0.290 0.454 O
0.370 0.579 0.915 O
0.415 0.079 0.870 O
0.415 0.836 0.546 O
0.421 0.085 0.630 O
0.421 0.836 0.790 O
0.454 0.370 0.290 O
0.454 0.585 0.164 O
0.546 0.415 0.836 O
0.546 0.630 0.710 O
0.579 0.164 0.210 O
0.579 0.915 0.370 O
0.585 0.164 0.454 O
0.585 0.921 0.130 O
0.630 0.421 0.085 O
0.630 0.710 0.546 O
0.664 0.079 0.710 O
0.664 0.085 0.954 O
0.710 0.546 0.630 O
0.710 0.664 0.079 O
0.790 0.421 0.836 O
0.790 0.870 0.954 O
0.836 0.546 0.415 O
0.836 0.790 0.421 O
0.870 0.415 0.079 O
0.870 0.954 0.790 O
0.915 0.046 0.336 O
0.915 0.370 0.579 O
0.921 0.130 0.585 O
0.921 0.290 0.336 O
0.954 0.664 0.085 O
0.954 0.790 0.870 O
```

Properties
DOS(E_F): 5.8 states/eV/f.u.
symmetry: Ia-3d, No. 230
spin magnetization: 0.0 Bohr magnetons per cell
formation energy (no corrections): -39.8 eV per formula unit
total DFT energy (no corrections): -6.935 eV per atom

***

The following is a DFT calculation (PBE-GGA) of an optimized crystal structure of YSn3O.

```
YSn3O
1.0
5.857 0.000 0.000
0.000 5.857 0.000
0.000 0.000 5.857
Y Sn O
1 3 1
direct
0.000 0.000 0.000 Y
0.000 0.000 0.500 Sn
0.000 0.500 0.000 Sn
0.500 0.000 0.000 Sn
0.500 0.500 0.500 O
```

Properties
DOS(E_F): 20.1 states/eV/f.u.
symmetry: Pm-3m, No. 221
spin magnetization: 0.0 Bohr magnetons per cell
relative energy among the computed polymorphs: 1615.8 meV/atom
formation energy (no corrections): 5.1 eV per formula unit
total DFT energy (no corrections): -3.657 eV per atom

***

The following is a DFT calculation (PBE-GGA) of an optimized crystal structure of Y4Sn6O19.

```
Y4Sn6O19
1.0
-4.665 4.665 4.665
4.665 -4.665 4.665
4.665 4.665 -4.665
Y Sn O
4 6 19
direct
0.000 0.000 0.291 Y
0.000 0.291 0.000 Y
0.291 0.000 0.000 Y
0.709 0.709 0.709 Y
0.168 0.500 0.668 Sn
0.332 0.832 0.500 Sn
0.500 0.332 0.832 Sn
0.500 0.668 0.168 Sn
0.668 0.168 0.500 Sn
0.832 0.500 0.332 Sn
0.000 0.000 0.000 O
0.000 0.346 0.346 O
0.000 0.654 0.654 O
0.034 0.764 0.366 O
0.236 0.269 0.602 O
0.269 0.602 0.236 O
0.333 0.731 0.966 O
0.346 0.000 0.346 O
0.346 0.346 0.000 O
0.366 0.034 0.764 O
0.398 0.667 0.634 O
0.602 0.236 0.269 O
0.634 0.398 0.667 O
0.654 0.000 0.654 O
0.654 0.654 0.000 O
0.667 0.634 0.398 O
0.731 0.966 0.333 O
0.764 0.366 0.034 O
0.966 0.333 0.731 O
```

Properties
DOS(E_F): 19.6 states/eV/f.u.
symmetry: I23, No. 197
spin magnetization: 2.2 Bohr magnetons per cell
formation energy (no corrections): -60.3 eV per formula unit
total DFT energy (no corrections): -7.046 eV per atom

***

The following is a DFT calculation (PBE-GGA) of an optimized crystal structure of Y4Sn2O.

```
Y4Sn2O
1.0
4.582 0.000 0.000
0.000 4.582 0.000
0.000 0.000 16.797
Y Sn O
8 4 2
direct
0.000 0.000 0.174 Y
0.000 0.000 0.826 Y
0.000 0.500 0.000 Y
0.000 0.500 0.500 Y
0.500 0.000 0.000 Y
0.500 0.000 0.500 Y
0.500 0.500 0.326 Y
0.500 0.500 0.674 Y
0.000 0.000 0.361 Sn
0.000 0.000 0.639 Sn
0.500 0.500 0.139 Sn
0.500 0.500 0.861 Sn
0.000 0.000 0.000 O
0.500 0.500 0.500 O
```

Properties
DOS(E_F): 7.0 states/eV/f.u.
symmetry: I4/mmm, No. 139
spin magnetization: 1.5 Bohr magnetons per cell
formation energy (no corrections): -9.3 eV per formula unit
total DFT energy (no corrections): -6.871 eV per atom

***

The following is a DFT calculation (PBE-GGA) of an optimized crystal structure of Y2SnO2.

```
Y2SnO2
1.0
3.835 0.000 0.000
0.000 3.835 0.000
0.000 0.000 14.093
Y Sn O
4 2 4
direct
0.000 0.000 0.169 Y
0.000 0.000 0.831 Y
0.500 0.500 0.331 Y
0.500 0.500 0.669 Y
0.000 0.000 0.500 Sn
0.500 0.500 0.000 Sn
0.000 0.500 0.250 O
0.000 0.500 0.750 O
0.500 0.000 0.250 O
0.500 0.000 0.750 O
```

Properties
DOS(E_F): 1.4 states/eV/f.u.
symmetry: I4/mmm, No. 139
spin magnetization: 0.0 Bohr magnetons per cell
formation energy (no corrections): -12.7 eV per formula unit
total DFT energy (no corrections): -7.915 eV per atom

***

The following is a DFT calculation (PBE-GGA) of an optimized crystal structure of YSnO4.

```
YSnO4
1.0
-2.728 2.728 5.279
2.728 -2.728 5.279
2.728 2.728 -5.279
Y Sn O
2 2 8
direct
0.375 0.125 0.250 Y
0.625 0.875 0.750 Y
0.125 0.375 0.750 Sn
0.875 0.625 0.250 Sn
0.022 0.218 0.300 O
0.222 0.522 0.304 O
0.282 0.083 0.804 O
0.417 0.722 0.200 O
0.583 0.278 0.800 O
0.718 0.917 0.196 O
0.778 0.478 0.696 O
0.978 0.782 0.700 O
```

Properties
DOS(E_F): 1.4 states/eV/f.u.
symmetry: I4_1/a, No. 88
spin magnetization: 2.0 Bohr magnetons per cell
formation energy (no corrections): -12.8 eV per formula unit
total DFT energy (no corrections): -7.178 eV per atom

***

The following is a DFT calculation (PBE-GGA) of an optimized crystal structure of Y2ZrSnO.

```
Y2ZrSnO
1.0
4.877 0.000 0.000
0.000 4.877 0.000
0.000 0.000 4.398
Y Zr Sn O
2 1 1 1
direct
0.000 0.500 0.000 Y
0.500 0.000 0.000 Y
0.000 0.000 0.500 Zr
0.500 0.500 0.500 Sn
0.000 0.000 0.000 O
```

Properties
DOS(E_F): 3.6 states/eV/f.u.
symmetry: P4/mmm, No. 123
spin magnetization: 0.0 Bohr magnetons per cell
formation energy (no corrections): -6.7 eV per formula unit
total DFT energy (no corrections): -7.432 eV per atom

***

Copy entry 10 word for word.
The following is a DFT calculation (PBE-GGA) of an optimized crystal structure of Y2SnO2.

```
Y2SnO2
1.0
3.835 0.000 0.000
0.000 3.835 0.000
0.000 0.000 14.093
Y Sn O
4 2 4
direct
0.000 0.000 0.169 Y
0.000 0.000 0.831 Y
0.500 0.500 0.331 Y
0.500 0.500 0.669 Y
0.000 0.000 0.500 Sn
0.500 0.500 0.000 Sn
0.000 0.500 0.250 O
0.000 0.500 0.750 O
0.500 0.000 0.250 O
0.500 0.000 0.750 O
```

Properties
DOS(E_F): 1.4 states/eV/f.u.
symmetry: I4/mmm, No. 139
spin magnetization: 0.0 Bohr magnetons per cell
formation energy (no corrections): -12.7 eV per formula unit
total DFT energy (no corrections): -7.915 eV per atom